No. 1
Density functional theory data (GGA+U) for CeCr2AsO8 after structural relaxation.

The structure in POSCAR format:
```
CeCr2AsO8
1.0
3.2286 -3.2847 0.0000
3.2286 3.2847 0.0000
0.0000 0.0000 6.4859
Ce Cr As O
1 2 1 8
Cartesian
0.0000 0.0000 0.0000 Ce
3.2286 0.0000 1.7330 Cr
3.2286 0.0000 4.7529 Cr
0.0000 0.0000 3.2429 As
1.2411 0.0000 1.8907 O
1.2411 0.0000 4.5952 O
3.2286 1.3391 3.2429 O
3.2286 1.1462 0.0000 O
3.2286 -1.1462 0.0000 O
3.2286 -1.3391 3.2429 O
5.2160 0.0000 1.8907 O
5.2160 0.0000 4.5952 O
```

Calculated values
The density of states at the Fermi level is 0.4001 states/eV per atom. The calculation puts the final energy at -87.659 eV for the cell shown. The space group is Cmmm.

---

No. 2
Density functional theory data (GGA+U) for CeCrAsO5 after structural relaxation.

The structure in POSCAR format:
```
CeCrAsO5
1.0
3.2014 -5.0893 0.0000
3.2014 5.0893 0.0000
-2.5359 0.0000 7.6431
Ce Cr As O
2 2 2 10
Cartesian
0.0000 0.0000 0.0000 Ce
-1.2679 0.0000 3.8215 Ce
1.2995 2.0942 5.7323 Cr
2.5675 -2.0942 1.9108 Cr
2.5675 1.9899 1.9108 As
1.2995 -1.9899 5.7323 As
1.3344 3.1157 2.4830 O
1.2995 4.1010 5.7323 O
2.0757 1.0363 0.5809 O
3.8006 3.1157 1.3385 O
0.8077 -1.0363 4.4024 O
3.0593 1.0363 3.2406 O
0.0665 -3.1157 6.3045 O
1.7913 -1.0363 7.0622 O
2.5675 -4.1010 1.9108 O
2.5326 -3.1157 5.1601 O
```

Calculated values
The density of states at the Fermi level is 0.7810 states/eV per atom. The calculation puts the final energy at -117.248 eV for the cell shown. The space group is C2/c.